1.
Compound: MgBiSbI2
Source: Alexandria
Functional: PBE
Structure: relaxed

Cell lengths 5.4649, 5.4649, 5.8471 Å; angles 90.00, 90.00, 90.00 degrees
Fractional coordinates of all 5 atoms:
Mg1 0.0000 0.0000 0.0000
Bi1 0.5000 0.5000 0.5000
Sb1 0.0000 0.0000 0.5000
I1 0.0000 0.5000 0.0000
I2 0.5000 0.0000 0.0000

Calculated values
Space group: P4/mmm
Uncorrected formation energy, eV/atom: 0.105
Total magnetic moment, μB/f.u.: 0.000
V, Å³/cell: 174.62
Polymorph energy (0 for the lowest one), eV per atom: 0.000
N(E_F), states/eV per cell: 3.9

=====

2.
Compound: LiScMn3
Source: Alexandria
Functional: PBE
Structure: relaxed

Cell lengths 4.2762, 4.2762, 4.2762 Å; angles 90.00, 90.00, 90.00 degrees
Fractional coordinates of all 5 atoms:
Li1 0.0000 0.0000 0.0000
Sc1 0.5000 0.5000 0.5000
Mn1 0.0000 0.0000 0.5000
Mn2 0.0000 0.5000 0.0000
Mn3 0.5000 0.0000 0.0000

Calculated values
Space group: Pm-3m
DFT formation energy, eV per atom: 0.75
Total magnetic moment, μB/f.u.: 8.989
V, Å³/cell: 78.20
Polymorph energy (0 for the lowest one), eV per atom: 0.000
N(E_F), states/eV per cell: 5.8

=====

3.
Compound: CaHfHg
Source: Alexandria
Functional: PBE
Structure: relaxed

Cell lengths 8.0040, 4.5750, 8.6941 Å; angles 90.00, 90.00, 90.00 degrees
Fractional coordinates of all 12 atoms:
Ca1 0.0305 0.2500 0.1706
Ca2 0.4695 0.7500 0.6706
Ca3 0.5305 0.2500 0.3294
Ca4 0.9695 0.7500 0.8294
Hf1 0.1147 0.2500 0.5612
Hf2 0.3853 0.7500 0.0612
Hf3 0.6147 0.2500 0.9388
Hf4 0.8853 0.7500 0.4388
Hg1 0.2380 0.7500 0.3688
Hg2 0.2620 0.2500 0.8688
Hg3 0.7380 0.7500 0.1312
Hg4 0.7620 0.2500 0.6312

Calculated values
Space group: Pnma
DFT formation energy, eV per atom: -0.04
Total magnetic moment, μB/f.u.: 0.009
V, Å³/cell: 318.36
Polymorph energy (0 for the lowest one), eV per atom: 0.141
N(E_F), states/eV per cell: 8.5

=====

4.
Compound: PaCdCo
Source: Alexandria
Functional: PBE
Structure: relaxed

Cell lengths 3.5920, 3.5920, 9.8429 Å; angles 90.00, 90.00, 90.00 degrees
Fractional coordinates of all 6 atoms:
Pa1 0.2500 0.2500 0.1455
Pa2 0.7500 0.7500 0.8545
Cd1 0.2500 0.2500 0.5861
Cd2 0.7500 0.7500 0.4139
Co1 0.2500 0.2500 0.8513
Co2 0.7500 0.7500 0.1487

Calculated values
Space group: P4/nmm
DFT formation energy, eV per atom: -0.24
Total magnetic moment, μB/f.u.: 0.000
V, Å³/cell: 127.00
Polymorph energy (0 for the lowest one), eV per atom: 0.037
N(E_F), states/eV per cell: 5.6

=====

5.
Compound: CaIrRh2
Source: Alexandria
Functional: PBE
Structure: relaxed

Cell lengths 2.8749, 2.8749, 8.0660 Å; angles 90.00, 90.00, 90.00 degrees
Fractional coordinates of all 4 atoms:
Ca1 0.0000 0.0000 0.0000
Ir1 0.5000 0.5000 0.2849
Rh1 0.0000 0.0000 0.5000
Rh2 0.5000 0.5000 0.7192

Calculated values
Space group: P4mm
DFT formation energy, eV per atom: 0.02
Total magnetic moment, μB/f.u.: 0.000
V, Å³/cell: 66.67
Polymorph energy (0 for the lowest one), eV per atom: 0.121
N(E_F), states/eV per cell: 5.4

=====

6.
Compound: LiCaDyIn
Source: Alexandria
Functional: PBE
Structure: relaxed

Cell lengths 5.3474, 5.3474, 5.3474 Å; angles 60.00, 60.00, 60.00 degrees
Fractional coordinates of all 4 atoms:
Li1 0.0000 0.0000 0.0000
Ca1 0.2500 0.2500 0.2500
Dy1 0.7500 0.7500 0.7500
In1 0.5000 0.5000 0.5000

Calculated values
Space group: F-43m
DFT formation energy, eV per atom: -0.26
Total magnetic moment, μB/f.u.: 0.000
V, Å³/cell: 108.12
N(E_F), states/eV per cell: 3.2

=====

7.
Compound: Y2TaTiFe
Source: Alexandria
Functional: PBE
Structure: relaxed

Cell lengths 5.3801, 5.3801, 4.0583 Å; angles 90.00, 90.00, 90.00 degrees
Fractional coordinates of all 5 atoms:
Y1 0.0000 0.5000 0.0000
Y2 0.5000 0.0000 0.0000
Ta1 0.0000 0.0000 0.5000
Ti1 0.5000 0.5000 0.0000
Fe1 0.5000 0.5000 0.5000

Calculated values
Space group: P4/mmm
DFT formation energy, eV per atom: 1.09
Total magnetic moment, μB/f.u.: 2.279
V, Å³/cell: 117.47
N(E_F), states/eV per cell: 6.3

=====

8.
Compound: Ca2HfMn
Source: Alexandria
Functional: PBE
Structure: relaxed

Cell lengths 7.8406, 7.8406, 7.8406 Å; angles 95.31, 95.31, 144.58 degrees
Fractional coordinates of all 8 atoms:
Ca1 0.3750 0.2339 0.3589
Ca2 0.7661 0.1250 0.1411
Ca3 0.8750 0.0161 0.6411
Ca4 0.9839 0.6250 0.8589
Hf1 0.2500 0.7500 0.5000
Hf2 0.5000 0.5000 0.0000
Mn1 0.0000 0.0000 0.0000
Mn2 0.7500 0.2500 0.5000

Calculated values
Space group: I-42d
DFT formation energy, eV per atom: 0.80
Total magnetic moment, μB/f.u.: 1.880
V, Å³/cell: 266.11
Polymorph energy (0 for the lowest one), eV per atom: 0.000
N(E_F), states/eV per cell: 8.3